# 1
The following is a GGA-PBE calculation of a relaxed NaP2BrO crystal, from Alexandria.

Summary:
**E above lowest polymorph**: 989 meV per atom
**Crystal system**: tetragonal
**Raw formation energy**: 85.9 kJ per mole of atoms

a b c (Å): 5.268 5.268 3.710
angles (deg): 90.00 90.00 90.00
Space group P4/mmm (No. 123)
One atom of each set of equivalent atoms:
Na (0.000, 0.000, 0.000) (multiplicity 1)
P (0.000, 0.500, 0.500) (multiplicity 2)
Br (0.500, 0.500, 0.500) (multiplicity 1)
O (0.500, 0.500, 0.000) (multiplicity 1)

=====

# 2
The following is a GGA-PBE calculation of a relaxed NaP2BrO crystal, from Alexandria.

Summary:
**E above lowest polymorph**: 1294 meV per atom
**Crystal system**: tetragonal
**Raw formation energy**: 115.4 kJ per mole of atoms

a b c (Å): 5.078 5.078 3.990
angles (deg): 90.00 90.00 90.00
Space group P4/mmm (No. 123)
One atom of each set of equivalent atoms:
Na (0.000, 0.000, 0.000) (multiplicity 1)
P (0.000, 0.500, 0.000) (multiplicity 2)
Br (0.500, 0.500, 0.500) (multiplicity 1)
O (0.000, 0.000, 0.500) (multiplicity 1)

=====

# 3
The following is a GGA-PBE calculation of a relaxed Na2Pa2Br2O5 crystal, from Alexandria.

Summary:
**Crystal system**: tetragonal
**Raw formation energy**: -268.5 kJ per mole of atoms

a b c (Å): 4.253 4.253 26.094
angles (deg): 90.00 90.00 90.00
Space group I4/mmm (No. 139)
One atom of each set of equivalent atoms:
Na (0.000, 0.000, 0.166) (multiplicity 4)
Pa (0.000, 0.000, 0.419) (multiplicity 4)
Br (0.000, 0.000, 0.303) (multiplicity 4)
O (0.000, 0.000, 0.500) (multiplicity 2)
O (0.000, 0.500, 0.094) (multiplicity 8)

=====

# 4
The following is a GGA-PBE calculation of a relaxed NaPaBrO5 crystal, from Alexandria.

Summary:
**Crystal system**: monoclinic
**Raw formation energy**: -158.5 kJ per mole of atoms

a b c (Å): 6.533 9.934 8.151
angles (deg): 90.00 91.69 90.00
Space group C2/c (No. 15)
One atom of each set of equivalent atoms:
Na (0.000, 0.169, 0.250) (multiplicity 4)
Pa (0.000, 0.500, 0.000) (multiplicity 4)
Br (0.000, 0.184, 0.750) (multiplicity 4)
O (0.000, 0.409, 0.250) (multiplicity 4)
O (0.132, 0.291, 0.882) (multiplicity 8)
O (0.219, 0.056, 0.448) (multiplicity 8)

=====

# 5
The following is a GGA-PBE calculation of a relaxed Na2PbBrO crystal, from Alexandria.

Summary:
**Crystal system**: tetragonal
**Raw formation energy**: -89.9 kJ per mole of atoms

a b c (Å): 4.850 4.850 4.946
angles (deg): 90.00 90.00 90.00
Space group P4/mmm (No. 123)
One atom of each set of equivalent atoms:
Na (0.000, 0.500, 0.000) (multiplicity 2)
Pb (0.000, 0.000, 0.500) (multiplicity 1)
Br (0.500, 0.500, 0.500) (multiplicity 1)
O (0.000, 0.000, 0.000) (multiplicity 1)

=====

# 6
The following is a GGA-PBE calculation of a relaxed NaPdBrO2 crystal, from Alexandria.

Summary:
**Crystal system**: tetragonal
**Raw formation energy**: 66.0 kJ per mole of atoms

a b c (Å): 4.157 4.157 5.554
angles (deg): 90.00 90.00 90.00
Space group P4/mmm (No. 123)
One atom of each set of equivalent atoms:
Na (0.000, 0.000, 0.000) (multiplicity 1)
Pd (0.500, 0.500, 0.500) (multiplicity 1)
Br (0.000, 0.000, 0.500) (multiplicity 1)
O (0.000, 0.500, 0.000) (multiplicity 2)

=====

# 7
The following is a GGA-PBE calculation of a relaxed Na2PmBrO2 crystal, from Alexandria.

Summary:
**Crystal system**: tetragonal
**Raw formation energy**: -196.6 kJ per mole of atoms

a b c (Å): 4.541 4.541 6.334
angles (deg): 90.00 90.00 90.00
Space group P4/mmm (No. 123)
One atom of each set of equivalent atoms:
Na (0.000, 0.000, 0.208) (multiplicity 2)
Pm (0.500, 0.500, 0.000) (multiplicity 1)
Br (0.500, 0.500, 0.500) (multiplicity 1)
O (0.000, 0.500, 0.000) (multiplicity 2)

=====

# 8
The following is a GGA-PBE calculation of a relaxed Na2Pu2Br2O5 crystal, from Alexandria.

Summary:
**Crystal system**: tetragonal
**Raw formation energy**: -217.8 kJ per mole of atoms

a b c (Å): 4.178 4.178 25.916
angles (deg): 90.00 90.00 90.00
Space group I4/mmm (No. 139)
One atom of each set of equivalent atoms:
Na (0.000, 0.000, 0.159) (multiplicity 4)
Pu (0.000, 0.000, 0.420) (multiplicity 4)
Br (0.000, 0.000, 0.307) (multiplicity 4)
O (0.000, 0.000, 0.500) (multiplicity 2)
O (0.000, 0.500, 0.089) (multiplicity 8)

=====

# 9
The following is a GGA-PBE calculation of a relaxed Rb2NaBr6O crystal, from Alexandria.

Summary:
**Crystal system**: tetragonal
**Raw formation energy**: -66.8 kJ per mole of atoms

a b c (Å): 7.274 7.274 13.104
angles (deg): 90.00 90.00 90.00
Space group I4/mmm (No. 139)
One atom of each set of equivalent atoms:
Rb (0.000, 0.500, 0.250) (multiplicity 4)
Na (0.000, 0.000, 0.000) (multiplicity 2)
Br (0.000, 0.000, 0.213) (multiplicity 4)
Br (0.215, 0.215, 0.500) (multiplicity 8)
O (0.000, 0.000, 0.500) (multiplicity 2)

=====

# 10
The following is a GGA-PBE calculation of a relaxed Na2ReBrO crystal, from Alexandria.

Summary:
**Crystal system**: tetragonal
**Raw formation energy**: 102.5 kJ per mole of atoms

a b c (Å): 5.861 5.861 4.592
angles (deg): 90.00 90.00 90.00
Space group P4/mmm (No. 123)
One atom of each set of equivalent atoms:
Na (0.000, 0.500, 0.000) (multiplicity 2)
Re (0.000, 0.000, 0.000) (multiplicity 1)
Br (0.000, 0.000, 0.500) (multiplicity 1)
O (0.500, 0.500, 0.500) (multiplicity 1)

=====

# 11
The following is a GGA-PBE calculation of a relaxed Na2RuBr2O2 crystal, from Alexandria.

Summary:
**Crystal system**: tetragonal
**Raw formation energy**: -107.9 kJ per mole of atoms

a b c (Å): 3.978 3.978 17.041
angles (deg): 90.00 90.00 90.00
Space group I4/mmm (No. 139)
One atom of each set of equivalent atoms:
Na (0.000, 0.000, 0.096) (multiplicity 4)
Ru (0.000, 0.000, 0.500) (multiplicity 2)
Br (0.000, 0.000, 0.347) (multiplicity 4)
O (0.000, 0.500, 0.000) (multiplicity 4)

=====

# 12
The following is a GGA-PBE calculation of a relaxed Na2SbBr3O crystal, from Alexandria.

Summary:
**Crystal system**: orthorhombic
**Raw formation energy**: -103.7 kJ per mole of atoms

a b c (Å): 4.183 5.814 16.253
angles (deg): 90.00 90.00 90.00
Space group Immm (No. 71)
One atom of each set of equivalent atoms:
Na (0.000, 0.000, 0.144) (multiplicity 4)
Sb (0.000, 0.000, 0.500) (multiplicity 2)
Br (0.000, 0.000, 0.320) (multiplicity 4)
Br (0.000, 0.500, 0.500) (multiplicity 2)
O (0.000, 0.500, 0.000) (multiplicity 2)

=====

# 13
The following is a GGA-PBE calculation of a relaxed NaSeBrO2 crystal, from Alexandria.

Summary:
**Crystal system**: monoclinic
**Raw formation energy**: -96.8 kJ per mole of atoms

a b c (Å): 6.464 4.045 7.469
angles (deg): 90.00 103.03 90.00
Space group P2_1/m (No. 11)
One atom of each set of equivalent atoms:
Na (0.219, 0.250, 0.458) (multiplicity 2)
Se (0.126, 0.250, 0.895) (multiplicity 2)
Br (0.437, 0.750, 0.735) (multiplicity 2)
O (0.027, 0.750, 0.316) (multiplicity 2)
O (0.070, 0.750, 0.954) (multiplicity 2)

=====

# 14
The following is a GGA-PBE calculation of a relaxed NaSnBrO crystal, from Alexandria.

Summary:
**Crystal system**: monoclinic
**Raw formation energy**: -114.2 kJ per mole of atoms

a b c (Å): 4.295 3.541 6.802
angles (deg): 90.00 102.56 90.00
Space group Pm (No. 6)
One atom of each set of equivalent atoms:
Na (0.000, 0.000, 0.000) (multiplicity 1)
Sn (0.467, 0.500, 0.583) (multiplicity 1)
Br (0.539, 0.500, 0.131) (multiplicity 1)
O (0.740, 0.000, 0.671) (multiplicity 1)

=====

# 15
The following is a GGA-PBE calculation of a relaxed NaSnBr2O crystal, from Alexandria.

Summary:
**Crystal system**: tetragonal
**Raw formation energy**: 4.2 kJ per mole of atoms

a b c (Å): 5.554 5.554 7.432
angles (deg): 90.00 90.00 90.00
Space group P4/mmm (No. 123)
One atom of each set of equivalent atoms:
Na (0.000, 0.000, 0.000) (multiplicity 1)
Sn (0.000, 0.000, 0.500) (multiplicity 1)
Br (0.000, 0.500, 0.500) (multiplicity 2)
O (0.500, 0.500, 0.000) (multiplicity 1)

=====

# 16
The following is a GGA-PBE calculation of a relaxed Na2TeBr6O6 crystal, from Alexandria.

Summary:
**Crystal system**: monoclinic
**Raw formation energy**: -39.8 kJ per mole of atoms

a b c (Å): 15.893 8.959 7.381
angles (deg): 90.00 117.51 90.00
Space group C2 (No. 5)
One atom of each set of equivalent atoms:
Na (0.000, 0.000, 0.000) (multiplicity 2)
Na (0.000, 0.250, 0.500) (multiplicity 2)
Te (0.000, 0.535, 0.000) (multiplicity 2)
Br (0.102, 0.508, 0.792) (multiplicity 4)
Br (0.119, 0.740, 0.251) (multiplicity 4)
Br (0.126, 0.290, 0.247) (multiplicity 4)
O (0.052, 0.155, 0.282) (multiplicity 4)
O (0.121, 0.993, 0.775) (multiplicity 4)
O (0.166, 0.895, 0.741) (multiplicity 4)

=====

# 17
The following is a GGA-PBE calculation of a relaxed NaTlBr2O6 crystal, from Alexandria.

Summary:
**Crystal system**: monoclinic
**Raw formation energy**: -36.1 kJ per mole of atoms

a b c (Å): 9.822 11.166 7.117
angles (deg): 90.00 106.30 90.00
Space group C2/c (No. 15)
One atom of each set of equivalent atoms:
Na (0.000, 0.074, 0.250) (multiplicity 4)
Tl (0.000, 0.327, 0.750) (multiplicity 4)
Br (0.209, 0.376, 0.335) (multiplicity 8)
O (0.116, 0.088, 0.610) (multiplicity 8)
O (0.131, 0.454, 0.130) (multiplicity 8)
O (0.198, 0.231, 0.263) (multiplicity 8)

=====

# 18
The following is a GGA-PBE calculation of a relaxed NaTlBrO crystal, from Alexandria.

Summary:
**Crystal system**: trigonal
**Raw formation energy**: -87.8 kJ per mole of atoms

a b c (Å): 3.7893 3.7893 45.0061
angles (deg): 90.00 90.00 120.00
Space group R-3m (No. 166, hexagonal axes)
One atom of each set of equivalent atoms:
Na (0.0000, 0.0000, 0.2377) (multiplicity 6)
Tl (0.0000, 0.0000, 0.0000) (multiplicity 3)
Tl (0.0000, 0.0000, 0.5000) (multiplicity 3)
Br (0.0000, 0.0000, 0.3872) (multiplicity 6)
O (0.0000, 0.0000, 0.1899) (multiplicity 6)

=====

# 19
The following is a GGA-PBE calculation of a relaxed NaTlBrO5 crystal, from Alexandria.

Summary:
**Crystal system**: monoclinic
**Raw formation energy**: -27.5 kJ per mole of atoms

a b c (Å): 7.919 9.628 7.537
angles (deg): 90.00 116.77 90.00
Space group C2/c (No. 15)
One atom of each set of equivalent atoms:
Na (0.000, 0.173, 0.250) (multiplicity 4)
Tl (0.000, 0.500, 0.000) (multiplicity 4)
Br (0.000, 0.182, 0.750) (multiplicity 4)
O (0.000, 0.414, 0.250) (multiplicity 4)
O (0.113, 0.260, 0.607) (multiplicity 8)
O (0.161, 0.069, 0.914) (multiplicity 8)

=====

# 20
The following is a GGA-PBE calculation of a relaxed Na2U2Br2O5 crystal, from Alexandria.

Summary:
**Crystal system**: tetragonal
**Raw formation energy**: -246.3 kJ per mole of atoms

a b c (Å): 4.217 4.217 26.062
angles (deg): 90.00 90.00 90.00
Space group I4/mmm (No. 139)
One atom of each set of equivalent atoms:
Na (0.000, 0.000, 0.160) (multiplicity 4)
U (0.000, 0.000, 0.420) (multiplicity 4)
Br (0.000, 0.000, 0.306) (multiplicity 4)
O (0.000, 0.000, 0.500) (multiplicity 2)
O (0.000, 0.500, 0.092) (multiplicity 8)

=====

| no. | DFT total energy (eV/atom) |
| --- | --- |
| 1 | -2.8634 |
| 2 | -2.5575 |
| 3 | -7.3071 |
| 4 | -6.3027 |
| 5 | -3.5268 |
| 6 | -2.9366 |
| 7 | -5.2006 |
| 8 | -7.6614 |
| 9 | -2.5177 |
| 10 | -3.2808 |
| 11 | -4.7146 |
| 12 | -3.4658 |
| 13 | -4.2823 |
| 14 | -4.1714 |
| 15 | -2.6816 |
| 16 | -3.4500 |
| 17 | -4.0525 |
| 18 | -3.4887 |
| 19 | -4.0532 |
| 20 | -7.4025 |